(1)
This record from Alexandria via LeMat-Bulk describes crystalline Rb2NaZr3S8 at its relaxed geometry. The functional is PBE.

The space group is R3m (No. 160, hexagonal axes) and the conventional cell measures 7.5881, 7.5881 and 24.9654 Å, with angles of 90.00, 90.00 and 120.00 degrees. The asymmetric unit holds Rb at (0.0000, 0.0000, 0.0000), Rb at (0.0000, 0.0000, 0.3492), Na at (0.0000, 0.0000, 0.8450), Zr at (0.1685, 0.3371, 0.1843), S at (0.0000, 0.0000, 0.1273), S at (0.0000, 0.0000, 0.5769), S at (0.0296, 0.5148, 0.1244) and S at (0.1769, 0.3538, 0.9085).

The calculation puts the total magnetic moment at 0.00 μB per formula unit. The calculation puts the uncorrected formation energy at -19.029 eV per formula unit.

(2)
This record from Alexandria via LeMat-Bulk describes crystalline Rb2Na4Sb at its relaxed geometry. The functional is PBE.

The space group is I4/mmm (No. 139) and the conventional cell measures 6.020, 6.020 and 20.832 Å, with angles of 90.00, 90.00 and 90.00 degrees. The asymmetric unit holds Rb at (0.000, 0.000, 0.160), Na at (0.000, 0.000, 0.353), Na at (0.000, 0.500, 0.000) and Sb at (0.000, 0.000, 0.500).

The calculation puts the total magnetic moment at 0.00 μB per formula unit. The calculation puts the uncorrected formation energy at -0.794 eV per formula unit.

(3)
This record from Alexandria via LeMat-Bulk describes crystalline RbNa2Sb2 at its relaxed geometry. The functional is PBE.

The space group is C2/m (No. 12) and the conventional cell measures 13.044, 5.188 and 6.147 Å, with angles of 90.00, 90.23 and 90.00 degrees. The asymmetric unit holds Rb at (0.000, 0.000, 0.000), Na at (0.176, 0.500, 0.616) and Sb at (0.215, 0.500, 0.110).

The calculation puts the total magnetic moment at 0.00 μB per formula unit. The calculation puts the relative energy among the computed polymorphs at 0.098 eV per atom. The calculation puts the uncorrected formation energy at -1.320 eV per formula unit.

(4)
This record from Alexandria via LeMat-Bulk describes crystalline RbNa2Sb2 at its relaxed geometry. The functional is PBE.

The space group is I4/mmm (No. 139) and the conventional cell measures 5.308, 5.308 and 12.833 Å, with angles of 90.00, 90.00 and 90.00 degrees. The asymmetric unit holds Rb at (0.000, 0.000, 0.000), Na at (0.000, 0.500, 0.250) and Sb at (0.000, 0.000, 0.391).

The calculation puts the total magnetic moment at 0.00 μB per formula unit. The calculation puts the relative energy among the computed polymorphs at 0.000 eV per atom. The calculation puts the uncorrected formation energy at -1.811 eV per formula unit.

(5)
This record from Alexandria via LeMat-Bulk describes crystalline RbNa2Sb2 at its relaxed geometry. The functional is PBE.

The space group is P4/mbm (No. 127) and the conventional cell measures 9.751, 9.751 and 3.250 Å, with angles of 90.00, 90.00 and 90.00 degrees. The asymmetric unit holds Rb at (0.000, 0.000, 0.000), Na at (0.122, 0.378, 0.000) and Sb at (0.172, 0.672, 0.500).

The calculation puts the total magnetic moment at 0.00 μB per formula unit. The calculation puts the relative energy among the computed polymorphs at 0.022 eV per atom. The calculation puts the uncorrected formation energy at -1.699 eV per formula unit.

(6)
This record from Alexandria via LeMat-Bulk describes crystalline RbNaSb4 at its relaxed geometry. The functional is PBE.

The space group is C2/c (No. 15) and the conventional cell measures 9.991, 15.010 and 7.364 Å, with angles of 90.00, 125.44 and 90.00 degrees. The asymmetric unit holds Rb at (0.000, 0.137, 0.250), Na at (0.000, 0.462, 0.250), Sb at (0.126, 0.332, 0.718) and Sb at (0.173, 0.110, 0.831).

The calculation puts the total magnetic moment at 0.00 μB per formula unit. The calculation puts the relative energy among the computed polymorphs at 0.000 eV per atom. The calculation puts the uncorrected formation energy at -0.980 eV per formula unit.

(7)
This record from Alexandria via LeMat-Bulk describes crystalline RbNaSb3 at its relaxed geometry. The functional is PBE.

The space group is Pm-3m (No. 221) and the conventional cell measures 6.149, 6.149 and 6.149 Å, with angles of 90.00, 90.00 and 90.00 degrees. The asymmetric unit holds Rb at (0.000, 0.000, 0.000), Na at (0.500, 0.500, 0.500) and Sb at (0.000, 0.000, 0.500).

The calculation puts the total magnetic moment at 0.00 μB per formula unit. The calculation puts the relative energy among the computed polymorphs at 1.252 eV per atom. The calculation puts the uncorrected formation energy at 5.029 eV per formula unit.

(8)
This record from Alexandria via LeMat-Bulk describes crystalline RbNa5Sb2 at its relaxed geometry. The functional is PBE.

The space group is Immm (No. 71) and the conventional cell measures 5.297, 9.586 and 12.022 Å, with angles of 90.00, 90.00 and 90.00 degrees. The asymmetric unit holds Rb at (0.000, 0.000, 0.000), Na at (0.000, 0.175, 0.304), Na at (0.000, 0.500, 0.000) and Sb at (0.000, 0.500, 0.252).

The calculation puts the total magnetic moment at 0.00 μB per formula unit. The calculation puts the uncorrected formation energy at -3.085 eV per formula unit.

(9)
This record from Alexandria via LeMat-Bulk describes crystalline RbNaSb2 at its relaxed geometry. The functional is PBE.

The space group is Pnma (No. 62) and the conventional cell measures 9.730, 5.044 and 12.874 Å, with angles of 90.00, 90.00 and 90.00 degrees. The asymmetric unit holds Rb at (0.113, 0.250, 0.128), Na at (0.018, 0.250, 0.620), Sb at (0.197, 0.250, 0.831) and Sb at (0.217, 0.250, 0.422).

The calculation puts the total magnetic moment at 0.00 μB per formula unit. The calculation puts the relative energy among the computed polymorphs at 0.000 eV per atom. The calculation puts the uncorrected formation energy at -1.324 eV per formula unit.

(10)
This record from Alexandria via LeMat-Bulk describes crystalline RbNa3Sb3 at its relaxed geometry. The functional is PBE.

The space group is Pm-3n (No. 223) and the conventional cell measures 8.527, 8.527 and 8.527 Å, with angles of 90.00, 90.00 and 90.00 degrees. The asymmetric unit holds Rb at (0.000, 0.000, 0.000), Na at (0.000, 0.250, 0.500) and Sb at (0.000, 0.500, 0.250).

The calculation puts the total magnetic moment at 2.84 μB per formula unit. The calculation puts the uncorrected formation energy at 1.120 eV per formula unit.

(11)
This record from Alexandria via LeMat-Bulk describes crystalline RbNa2Sb at its relaxed geometry. The functional is PBE.

The space group is I-42d (No. 122) and the conventional cell measures 5.913, 5.913 and 20.521 Å, with angles of 90.00, 90.00 and 90.00 degrees. The asymmetric unit holds Rb at (0.000, 0.000, 0.000), Na at (0.094, 0.250, 0.625) and Sb at (0.000, 0.000, 0.500).

The calculation puts the total magnetic moment at 0.00 μB per formula unit. The calculation puts the uncorrected formation energy at -0.771 eV per formula unit.

(12)
This record from Alexandria via LeMat-Bulk describes crystalline RbNaSb2 at its relaxed geometry. The functional is PBE.

The space group is I-42d (No. 122) and the conventional cell measures 5.227, 5.227 and 22.412 Å, with angles of 90.00, 90.00 and 90.00 degrees. The asymmetric unit holds Rb at (0.000, 0.000, 0.000), Na at (0.000, 0.000, 0.500) and Sb at (0.155, 0.250, 0.625).

The calculation puts the total magnetic moment at 0.00 μB per formula unit. The calculation puts the relative energy among the computed polymorphs at 0.176 eV per atom. The calculation puts the uncorrected formation energy at -0.620 eV per formula unit.